Below is a relaxed Ag5SbCl8 crystal, with properties calculated at the GGA-PBE level.

For the total energy, the calculation gives -2.86 eV/atom. For the energy relative to the elements, uncorrected, the calculation gives -489 meV/atom. The total magnetization comes out at 0.0 μB per formula unit.

Unit cell a=9.680 b=9.680 c=7.825 alpha=90.00 beta=90.00 gamma=90.00
Space group I-4 (No. 82)
One atom of each set of equivalent atoms:
Ag  0.000  0.000  0.000 [2 per cell]
Ag  0.207  0.275  0.844 [8 per cell]
Sb  0.000  0.500  0.250 [2 per cell]
Cl  0.048  0.743  0.383 [8 per cell]
Cl  0.065  0.740  0.919 [8 per cell]